(1)
Compound: Tm2Sc2O5
Source: the Open Quantum Materials Database
Functional: PBE
Structure: optimized geometry

Summary:
Polymorph energy (0 for the lowest one) = 0 kJ/mol of formula units
Calculated density = 7.2 g/cm³
Total energy = -7.969 eV per atom
Space-group type = P4/mmm, No. 123

Cell and atoms, written as extended XYZ:
```
9
Lattice="4.014 0.000 0.000 0.000 4.014 0.000 0.000 0.000 7.222" Properties=species:S:1:pos:R:3 pbc="T T T"
Tm 0.000 0.000 0.000
Tm 0.000 0.000 3.611
Sc 2.007 2.007 1.625
Sc 2.007 2.007 5.597
O 0.000 2.007 1.614
O 0.000 2.007 5.608
O 2.007 0.000 1.614
O 2.007 0.000 5.608
O 2.007 2.007 3.611
```


(2)
Compound: Dy2Sc2CI4Cl
Source: the Open Quantum Materials Database
Functional: PBE
Structure: optimized geometry

Summary:
Polymorph energy (0 for the lowest one) = 90 kJ/mol of formula units
Calculated density = 5.3 g/cm³
Total energy = -5.011 eV per atom
Space-group type = C2/m, No. 12

Cell and atoms, written as extended XYZ:
```
10
Lattice="9.972 -1.917 0.000 9.972 1.917 0.000 -1.614 0.000 7.924" Properties=species:S:1:pos:R:3 pbc="T T T"
Dy 2.281 0.000 0.464
Dy 16.050 0.000 7.460
Sc 9.668 0.000 1.492
Sc 8.662 0.000 6.432
C 0.000 0.000 0.000
I 6.617 0.000 1.583
I 5.913 0.000 5.166
I 12.418 0.000 2.758
I 11.713 0.000 6.341
Cl -0.807 0.000 3.962
```


(3)
Compound: ScTaBi2
Source: the Open Quantum Materials Database
Functional: PBE
Structure: optimized geometry

Summary:
Calculated density = 11.0 g/cm³
Total energy = -6.119 eV per atom
Space-group type = F-43m, No. 216

Cell and atoms, written as extended XYZ:
```
16
Lattice="7.291 0.000 0.000 0.000 7.291 0.000 0.000 0.000 7.291" Properties=species:S:1:pos:R:3 pbc="T T T"
Sc 0.000 0.000 0.000
Sc 0.000 3.646 3.646
Sc 3.646 0.000 3.646
Sc 3.646 3.646 0.000
Ta 1.823 1.823 1.823
Ta 1.823 5.468 5.468
Ta 5.468 1.823 5.468
Ta 5.468 5.468 1.823
Bi 0.000 0.000 3.646
Bi 0.000 3.646 0.000
Bi 1.823 1.823 5.468
Bi 1.823 5.468 1.823
Bi 3.646 0.000 0.000
Bi 3.646 3.646 3.646
Bi 5.468 1.823 1.823
Bi 5.468 5.468 5.468
```


(4)
Compound: HfIn2I6
Source: the Open Quantum Materials Database
Functional: PBE
Structure: optimized geometry

Summary:
Calculated density = 5.0 g/cm³
Total energy = -3.472 eV per atom
Space-group type = P2_1/c, No. 14

Cell and atoms, written as extended XYZ:
```
18
Lattice="7.865 0.000 0.000 0.000 8.823 0.000 -7.415 0.000 11.092" Properties=species:S:1:pos:R:3 pbc="T T T"
Hf 0.000 0.000 0.000
Hf -3.707 4.412 5.546
In -3.381 0.961 8.553
In 0.327 3.450 3.008
In 0.124 5.373 8.084
In 3.831 7.862 2.538
I -0.757 0.215 2.743
I -4.465 4.196 8.288
I 1.352 6.381 0.583
I -2.355 6.853 6.128
I 2.382 1.505 0.533
I -1.326 2.906 6.079
I 1.776 5.917 5.013
I -1.931 7.318 10.559
I 2.806 1.970 4.963
I -0.901 2.442 10.509
I 4.915 4.627 2.803
I 1.208 8.608 8.349
```


(5)
Compound: LuScMo
Source: the Open Quantum Materials Database
Functional: PBE
Structure: optimized geometry

Summary:
Polymorph energy (0 for the lowest one) = 0 kJ/mol of formula units
Calculated density = 7.1 g/cm³
Total energy = -6.144 eV per atom
DFT formation energy = 315 kJ/mol of formula units
Space-group type = F-43m, No. 216

Cell and atoms, written as extended XYZ:
```
12
Lattice="6.652 0.000 0.000 0.000 6.652 0.000 0.000 0.000 6.652" Properties=species:S:1:pos:R:3 pbc="T T T"
Lu 0.000 0.000 0.000
Lu 0.000 3.326 3.326
Lu 3.326 0.000 3.326
Lu 3.326 3.326 0.000
Sc 1.663 1.663 1.663
Sc 1.663 4.989 4.989
Sc 4.989 1.663 4.989
Sc 4.989 4.989 1.663
Mo 0.000 0.000 3.326
Mo 0.000 3.326 0.000
Mo 3.326 0.000 0.000
Mo 3.326 3.326 3.326
```


(6)
Compound: BaNdCuTe2Se
Source: the Open Quantum Materials Database
Functional: PBE
Structure: optimized geometry

Summary:
Calculated density = 6.1 g/cm³
Total energy = -4.724 eV per atom
Space-group type = Cmcm, No. 63

Cell and atoms, written as extended XYZ:
```
12
Lattice="2.211 -7.462 0.000 2.211 7.462 0.000 0.000 0.000 11.146" Properties=species:S:1:pos:R:3 pbc="T T T"
Ba 2.211 4.032 8.359
Ba 2.211 -4.032 2.786
Nd 2.211 0.000 0.000
Nd 2.211 0.000 5.573
Cu 2.211 7.030 2.786
Cu 2.211 -7.030 8.359
Te 2.211 5.330 0.739
Te 2.211 5.330 4.834
Te 2.211 -5.330 6.312
Te 2.211 -5.330 10.407
Se 2.211 0.959 2.786
Se 2.211 -0.959 8.359
```


(7)
Compound: PmPaPO
Source: the Open Quantum Materials Database
Functional: PBE
Structure: optimized geometry

Summary:
Polymorph energy (0 for the lowest one) = 19 kJ/mol of formula units
Calculated density = 8.4 g/cm³
Total energy = -7.451 eV per atom
Space-group type = P4/nmm, No. 129

Cell and atoms, written as extended XYZ:
```
8
Lattice="4.231 0.000 0.000 0.000 4.231 0.000 0.000 0.000 9.328" Properties=species:S:1:pos:R:3 pbc="T T T"
Pm 1.058 1.058 1.048
Pm 3.173 3.173 8.280
Pa 1.058 3.173 4.664
Pa 3.173 1.058 4.664
P 1.058 1.058 6.614
P 3.173 3.173 2.714
O 1.058 3.173 0.000
O 3.173 1.058 0.000
```


(8)
Compound: KTbGaTe3
Source: the Open Quantum Materials Database
Functional: PBE
Structure: optimized geometry

Summary:
Polymorph energy (0 for the lowest one) = 12 kJ/mol of formula units
Calculated density = 5.4 g/cm³
Total energy = -3.947 eV per atom
Space-group type = Pnma, No. 62

Cell and atoms, written as extended XYZ:
```
24
Lattice="12.224 0.000 0.000 0.000 4.992 0.000 0.000 0.000 13.094" Properties=species:S:1:pos:R:3 pbc="T T T"
K 2.277 1.248 0.119
K 3.835 3.744 6.666
K 8.389 1.248 6.428
K 9.947 3.744 12.975
Tb 0.237 1.248 4.175
Tb 5.875 3.744 10.722
Tb 6.348 1.248 2.372
Tb 11.987 3.744 8.919
Ga 2.988 1.248 9.420
Ga 3.123 3.744 2.873
Ga 9.100 1.248 10.221
Ga 9.235 3.744 3.674
Te 0.518 3.744 2.135
Te 1.104 1.248 7.358
Te 2.662 3.744 10.490
Te 3.450 1.248 3.942
Te 5.008 3.744 0.811
Te 5.594 1.248 8.682
Te 6.630 3.744 4.412
Te 7.215 1.248 12.283
Te 8.774 3.744 9.152
Te 9.562 1.248 2.605
Te 11.120 3.744 5.736
Te 11.706 1.248 10.959
```